Record 1
A geometry-optimized PaCdIr structure. Source: the Open Quantum Materials Database, functional PBE.

a = 4.7461 Å, b = 4.7461 Å, c = 4.7461 Å
α = 60.00°, β = 60.00°, γ = 60.00°
Sites, in units of the cell vectors:
Pa  0.0000  0.0000  0.0000
Cd  0.7500  0.7500  0.7500
Ir  0.2500  0.2500  0.2500

Properties
Offset from the most stable computed form, kJ per mole of atoms: 61.0
Calculated formation energy, eV/atom: 0.38


Record 2
A geometry-optimized Cd2IrPb structure. Source: the Open Quantum Materials Database, functional PBE.

a = 4.8819 Å, b = 4.8819 Å, c = 4.8819 Å
α = 60.00°, β = 60.00°, γ = 60.00°
Sites, in units of the cell vectors:
Cd  0.0000  0.0000  0.0000
Cd  0.2500  0.2500  0.2500
Ir  0.7500  0.7500  0.7500
Pb  0.5000  0.5000  0.5000

Properties
E_tot, eV/cell: -13.1


Number 1: calculated volume 75.6 Å³/f.u., mass density 11.8 g/cm³. Number 2: calculated volume 82.3 Å³/f.u., mass density 12.6 g/cm³.